A relaxed ZnCuAs crystal, computed with PBE-GGA.

Values from the calculation:
- Electronic total energy: -3.21 eV per atom
- Volume: 17.0 Å³/atom
- Theoretical density: 6.65 g cm⁻³

a b c (Å): 6.892 4.102 7.200
angles (deg): 90.00 90.00 90.00
Space group Pnma (No. 62)
One atom of each set of equivalent atoms:
Zn (0.078, 0.250, 0.122) [4 per cell]
Cu (0.200, 0.250, 0.781) [4 per cell]
As (0.214, 0.250, 0.446) [4 per cell]

=====

A relaxed ZnCu2As crystal, computed with PBE-GGA.

Values from the calculation:
- Electronic total energy: -3.23 eV per atom
- Volume: 14.2 Å³/atom
- Theoretical density: 7.81 g cm⁻³
- Polymorph energy (0 for the lowest one): 0.1 meV/atom

a b c (Å): 6.104 6.104 6.104
angles (deg): 90.00 90.00 90.00
Space group Pm-3m (No. 221)
One atom of each set of equivalent atoms:
Zn (0.000, 0.000, 0.000) [1 per cell]
Zn (0.000, 0.000, 0.500) [3 per cell]
Cu (0.241, 0.241, 0.241) [8 per cell]
As (0.000, 0.500, 0.500) [3 per cell]
As (0.500, 0.500, 0.500) [1 per cell]

=====

A relaxed ZnCuAs crystal, computed with PBE-GGA.

Values from the calculation:
- Electronic total energy: -3.17 eV per atom
- Volume: 17.8 Å³/atom
- Theoretical density: 6.33 g cm⁻³

a b c (Å): 6.487 4.089 8.071
angles (deg): 90.00 90.00 90.00
Space group Pnma (No. 62)
One atom of each set of equivalent atoms:
Zn (0.136, 0.250, 0.099) [4 per cell]
Cu (0.054, 0.750, 0.424) [4 per cell]
As (0.245, 0.750, 0.893) [4 per cell]

=====

A relaxed ZnCu2As crystal, computed with PBE-GGA.

Values from the calculation:
- Electronic total energy: -3.23 eV per atom
- Volume: 14.2 Å³/atom
- Theoretical density: 7.81 g cm⁻³
- Polymorph energy (0 for the lowest one): 0.0 meV/atom

a b c (Å): 6.104 6.104 6.104
angles (deg): 90.00 90.00 90.00
Space group Pm-3m (No. 221)
One atom of each set of equivalent atoms:
Zn (0.000, 0.000, 0.000) [1 per cell]
Zn (0.000, 0.000, 0.500) [3 per cell]
Cu (0.240, 0.240, 0.240) [8 per cell]
As (0.000, 0.500, 0.500) [3 per cell]
As (0.500, 0.500, 0.500) [1 per cell]

=====

A relaxed ZnCu5As2 crystal, computed with PBE-GGA.

Values from the calculation:
- Electronic total energy: -3.50 eV per atom
- Volume: 13.7 Å³/atom
- Theoretical density: 8.05 g cm⁻³

a b c (Å): 4.267 4.267 6.035
angles (deg): 90.00 90.00 90.00
Space group P4/mmm (No. 123)
One atom of each set of equivalent atoms:
Zn (0.000, 0.000, 0.000) [1 per cell]
Cu (0.000, 0.500, 0.251) [4 per cell]
Cu (0.500, 0.500, 0.500) [1 per cell]
As (0.000, 0.000, 0.500) [1 per cell]
As (0.500, 0.500, 0.000) [1 per cell]

=====

A relaxed ZnCu5As2 crystal, computed with PBE-GGA.

Values from the calculation:
- Electronic total energy: -3.50 eV per atom
- Volume: 13.7 Å³/atom
- Theoretical density: 8.05 g cm⁻³

a b c (Å): 4.267 4.267 6.035
angles (deg): 90.00 90.00 90.00
Space group P4/mmm (No. 123)
One atom of each set of equivalent atoms:
Zn (0.000, 0.000, 0.000) [1 per cell]
Cu (0.000, 0.500, 0.251) [4 per cell]
Cu (0.500, 0.500, 0.500) [1 per cell]
As (0.000, 0.000, 0.500) [1 per cell]
As (0.500, 0.500, 0.000) [1 per cell]